No. 1
Density functional theory data (PBE) for Ho2TmGa after structural relaxation.

Calculated values
- DOS at the Fermi energy (states/eV per atom) = 0.90
- energy relative to the lowest polymorph listed for this composition (meV/atom) = 84
- DFT formation energy (eV/atom) = -0.198
- crystal system = trigonal

a = 3.5776 Å, b = 3.5776 Å, c = 30.2841 Å
α = 90.00°, β = 90.00°, γ = 120.00°
Space group R3m (No. 160, hexagonal axes)
Inequivalent atoms, fractional coordinates:
Ho1 0.0000 0.0000 0.0000 x3
Ho2 0.0000 0.0000 0.1896 x3
Tm1 0.0000 0.0000 0.7613 x3
Ga1 0.0000 0.0000 0.5952 x3


No. 2
Density functional theory data (PBE) for HoTmGa6 after structural relaxation.

Calculated values
- DOS at the Fermi energy (states/eV per atom) = 0.44
- DFT formation energy (eV/atom) = -0.506
- crystal system = hexagonal

a = 6.2019 Å, b = 6.2019 Å, c = 4.5938 Å
α = 90.00°, β = 90.00°, γ = 120.00°
Space group P-6m2 (No. 187)
Inequivalent atoms, fractional coordinates:
Ho1 0.0000 0.0000 0.0000 x1
Tm1 0.6667 0.3333 0.5000 x1
Ga1 0.0352 0.5176 0.0000 x3
Ga2 0.1851 0.3702 0.5000 x3


No. 3
Density functional theory data (PBE) for Ho5Tm12Ga3 after structural relaxation.

Calculated values
- DOS at the Fermi energy (states/eV per atom) = 1.59
- DFT formation energy (eV/atom) = 0.808
- crystal system = cubic

a = 17.946 Å, b = 17.946 Å, c = 17.946 Å
α = 90.00°, β = 90.00°, γ = 90.00°
Space group Ia-3d (No. 230)
Inequivalent atoms, fractional coordinates:
Ho1 0.000 0.000 0.000 x16
Ho2 0.000 0.250 0.375 x24
Tm1 0.008 0.091 0.646 x96
Ga1 0.000 0.250 0.125 x24


No. 4
Density functional theory data (PBE) for Ho2Tm3Ga2 after structural relaxation.

Calculated values
- DOS at the Fermi energy (states/eV per atom) = 0.98
- DFT formation energy (eV/atom) = -0.333
- crystal system = monoclinic

a = 12.788 Å, b = 3.696 Å, c = 8.702 Å
α = 90.00°, β = 114.42°, γ = 90.00°
Space group C2/m (No. 12)
Inequivalent atoms, fractional coordinates:
Ho1 0.144 0.000 0.307 x4
Tm1 0.000 0.500 0.500 x2
Tm2 0.112 0.500 0.940 x4
Ga1 0.182 0.000 0.719 x4


No. 5
Density functional theory data (PBE) for HoTm3Ga3 after structural relaxation.

Calculated values
- DOS at the Fermi energy (states/eV per atom) = 0.66
- DFT formation energy (eV/atom) = -0.423
- crystal system = hexagonal

a = 8.9867 Å, b = 8.9867 Å, c = 4.7608 Å
α = 90.00°, β = 90.00°, γ = 120.00°
Space group P6_3/m (No. 176)
Inequivalent atoms, fractional coordinates:
Ho1 0.3333 0.6667 0.2500 x2
Tm1 0.0130 0.7617 0.7500 x6
Ga1 0.0594 0.4498 0.7500 x6


No. 6
Density functional theory data (PBE) for Ho2TmGa6 after structural relaxation.

Calculated values
- DOS at the Fermi energy (states/eV per atom) = 0.37
- energy relative to the lowest polymorph listed for this composition (meV/atom) = 0
- DFT formation energy (eV/atom) = -0.612
- crystal system = hexagonal

a = 7.4533 Å, b = 7.4533 Å, c = 3.7767 Å
α = 90.00°, β = 90.00°, γ = 120.00°
Space group P6/mmm (No. 191)
Inequivalent atoms, fractional coordinates:
Ho1 0.3333 0.6667 0.0000 x2
Tm1 0.0000 0.0000 0.0000 x1
Ga1 0.0000 0.3329 0.5000 x6


No. 7
Density functional theory data (PBE) for Ho2TmGa after structural relaxation.

Calculated values
- DOS at the Fermi energy (states/eV per atom) = 1.31
- energy relative to the lowest polymorph listed for this composition (meV/atom) = 41
- DFT formation energy (eV/atom) = -0.241
- crystal system = tetragonal

a = 4.689 Å, b = 4.689 Å, c = 4.679 Å
α = 90.00°, β = 90.00°, γ = 90.00°
Space group P4/mmm (No. 123)
Inequivalent atoms, fractional coordinates:
Ho1 0.000 0.500 0.000 x2
Tm1 0.000 0.000 0.500 x1
Ga1 0.500 0.500 0.500 x1


No. 8
Density functional theory data (PBE) for HoTm4Ga4 after structural relaxation.

Calculated values
- DOS at the Fermi energy (states/eV per atom) = 0.70
- DFT formation energy (eV/atom) = -0.348
- crystal system = tetragonal

a = 8.971 Å, b = 8.971 Å, c = 5.857 Å
α = 90.00°, β = 90.00°, γ = 90.00°
Space group P4_2/n (No. 86, origin choice 2)
Inequivalent atoms, fractional coordinates:
Ho1 0.250 0.250 0.250 x2
Tm1 0.070 0.657 0.130 x8
Ga1 0.024 0.618 0.621 x8


No. 9
Density functional theory data (PBE) for HoTm3Ga8 after structural relaxation.

Calculated values
- DOS at the Fermi energy (states/eV per atom) = 0.53
- DFT formation energy (eV/atom) = -0.530
- crystal system = trigonal

a = 5.4457 Å, b = 5.4457 Å, c = 27.0591 Å
α = 90.00°, β = 90.00°, γ = 120.00°
Space group R3m (No. 160, hexagonal axes)
Inequivalent atoms, fractional coordinates:
Ho1 0.0000 0.0000 0.0000 x3
Tm1 0.0000 0.0000 0.3762 x3
Tm2 0.0000 0.0000 0.4998 x3
Tm3 0.0000 0.0000 0.8760 x3
Ga1 0.0000 0.0000 0.1879 x3
Ga2 0.0000 0.0000 0.6881 x3
Ga3 0.0002 0.5001 0.4382 x9
Ga4 0.9999 0.5000 0.9378 x9


No. 10
Density functional theory data (PBE) for HoTmGa after structural relaxation.

Calculated values
- DOS at the Fermi energy (states/eV per atom) = 0.69
- energy relative to the lowest polymorph listed for this composition (meV/atom) = 124
- DFT formation energy (eV/atom) = -0.269
- crystal system = trigonal

a = 4.9323 Å, b = 4.9323 Å, c = 3.6031 Å
α = 90.00°, β = 90.00°, γ = 120.00°
Space group P3m1 (No. 156)
Inequivalent atoms, fractional coordinates:
Ho1 0.0000 0.0000 0.0000 x1
Tm1 0.3333 0.6667 0.4667 x1
Ga1 0.6667 0.3333 0.7057 x1


No. 11
Density functional theory data (PBE) for Ho3TmGa4 after structural relaxation.

Calculated values
- DOS at the Fermi energy (states/eV per atom) = 0.39
- energy relative to the lowest polymorph listed for this composition (meV/atom) = 0
- DFT formation energy (eV/atom) = -0.575
- crystal system = trigonal

a = 5.0115 Å, b = 5.0115 Å, c = 24.6262 Å
α = 90.00°, β = 90.00°, γ = 120.00°
Space group R-3m (No. 166, hexagonal axes)
Inequivalent atoms, fractional coordinates:
Ho1 0.0000 0.0000 0.0000 x3
Ho2 0.0000 0.0000 0.2496 x6
Tm1 0.0000 0.0000 0.5000 x3
Ga1 0.0000 0.0000 0.1254 x6
Ga2 0.0000 0.0000 0.3753 x6


No. 12
Density functional theory data (PBE) for Ho2TmGa3 after structural relaxation.

Calculated values
- DOS at the Fermi energy (states/eV per atom) = 0.71
- energy relative to the lowest polymorph listed for this composition (meV/atom) = 79
- DFT formation energy (eV/atom) = -0.497
- crystal system = orthorhombic

a = 4.514 Å, b = 20.707 Å, c = 6.158 Å
α = 90.00°, β = 90.00°, γ = 90.00°
Space group Cmcm (No. 63)
Inequivalent atoms, fractional coordinates:
Ho1 0.000 0.034 0.250 x4
Ho2 0.000 0.143 0.750 x4
Tm1 0.000 0.324 0.750 x4
Ga1 0.000 0.262 0.250 x4
Ga2 0.000 0.437 0.044 x8


No. 13
Density functional theory data (PBE) for HoTmGa after structural relaxation.

Calculated values
- DOS at the Fermi energy (states/eV per atom) = 1.02
- energy relative to the lowest polymorph listed for this composition (meV/atom) = 258
- DFT formation energy (eV/atom) = -0.136
- crystal system = trigonal

a = 3.5480 Å, b = 3.5480 Å, c = 14.6906 Å
α = 90.00°, β = 90.00°, γ = 120.00°
Space group P-3m1 (No. 164)
Inequivalent atoms, fractional coordinates:
Ho1 0.3333 0.6667 0.4033 x2
Tm1 0.3333 0.6667 0.7912 x2
Ga1 0.3333 0.6667 0.0588 x2


No. 14
Density functional theory data (PBE) for Ho8Tm2Ga after structural relaxation.

Calculated values
- DOS at the Fermi energy (states/eV per atom) = 1.29
- DFT formation energy (eV/atom) = -0.077
- crystal system = monoclinic

a = 18.940 Å, b = 5.429 Å, c = 6.334 Å
α = 90.00°, β = 94.03°, γ = 90.00°
Space group C2/m (No. 12)
Inequivalent atoms, fractional coordinates:
Ho1 0.042 0.000 0.255 x4
Ho2 0.078 0.500 0.607 x4
Ho3 0.157 0.000 0.807 x4
Ho4 0.157 0.500 0.122 x4
Tm1 0.241 0.000 0.332 x4
Ga1 0.000 0.500 0.000 x2


No. 15
Density functional theory data (PBE) for Ho2TmGa after structural relaxation.

Calculated values
- DOS at the Fermi energy (states/eV per atom) = 1.02
- energy relative to the lowest polymorph listed for this composition (meV/atom) = 418
- DFT formation energy (eV/atom) = 0.136
- crystal system = trigonal

a = 3.4552 Å, b = 3.4552 Å, c = 34.6348 Å
α = 90.00°, β = 90.00°, γ = 120.00°
Space group R-3m (No. 166, hexagonal axes)
Inequivalent atoms, fractional coordinates:
Ho1 0.0000 0.0000 0.0860 x6
Tm1 0.0000 0.0000 0.5000 x3
Ga1 0.0000 0.0000 0.0000 x3


No. 16
Density functional theory data (PBE) for HoTm2Ga9 after structural relaxation.

Calculated values
- DOS at the Fermi energy (states/eV per atom) = 0.37
- DFT formation energy (eV/atom) = -0.522
- crystal system = tetragonal

a = 4.245 Å, b = 4.245 Å, c = 12.719 Å
α = 90.00°, β = 90.00°, γ = 90.00°
Space group P4/mmm (No. 123)
Inequivalent atoms, fractional coordinates:
Ho1 0.000 0.000 0.000 x1
Tm1 0.000 0.000 0.334 x2
Ga1 0.000 0.500 0.168 x4
Ga2 0.000 0.500 0.500 x2
Ga3 0.500 0.500 0.000 x1
Ga4 0.500 0.500 0.333 x2


No. 17
Density functional theory data (PBE) for Ho2Tm2Ga after structural relaxation.

Calculated values
- DOS at the Fermi energy (states/eV per atom) = 1.09
- DFT formation energy (eV/atom) = 0.354
- crystal system = tetragonal

a = 4.174 Å, b = 4.174 Å, c = 17.290 Å
α = 90.00°, β = 90.00°, γ = 90.00°
Space group I4/mmm (No. 139)
Inequivalent atoms, fractional coordinates:
Ho1 0.000 0.500 0.250 x4
Tm1 0.000 0.000 0.088 x4
Ga1 0.000 0.000 0.500 x2


No. 18
Density functional theory data (PBE) for HoTmGa after structural relaxation.

Calculated values
- DOS at the Fermi energy (states/eV per atom) = 1.09
- energy relative to the lowest polymorph listed for this composition (meV/atom) = 0
- DFT formation energy (eV/atom) = -0.394
- crystal system = hexagonal

a = 5.1127 Å, b = 5.1127 Å, c = 6.5512 Å
α = 90.00°, β = 90.00°, γ = 120.00°
Space group P6_3/mmc (No. 194)
Inequivalent atoms, fractional coordinates:
Ho1 0.0000 0.0000 0.0000 x2
Tm1 0.3333 0.6667 0.2500 x2
Ga1 0.3333 0.6667 0.7500 x2


No. 19
Density functional theory data (PBE) for Ho2Tm2ZnGa4 after structural relaxation.

Calculated values
- DOS at the Fermi energy (states/eV per atom) = 0.78
- DFT formation energy (eV/atom) = -0.257
- crystal system = tetragonal

a = 6.904 Å, b = 6.904 Å, c = 8.668 Å
α = 90.00°, β = 90.00°, γ = 90.00°
Space group I4/mmm (No. 139)
Inequivalent atoms, fractional coordinates:
Ho1 0.000 0.000 0.188 x4
Tm1 0.000 0.500 0.250 x4
Zn1 0.000 0.000 0.500 x2
Ga1 0.247 0.247 0.500 x8


No. 20
Density functional theory data (PBE) for HoTm2Zn2Ga2 after structural relaxation.

Calculated values
- DOS at the Fermi energy (states/eV per atom) = 0.48
- DFT formation energy (eV/atom) = -0.385
- crystal system = trigonal

a = 4.4278 Å, b = 4.4278 Å, c = 26.7934 Å
α = 90.00°, β = 90.00°, γ = 120.00°
Space group R-3m (No. 166, hexagonal axes)
Inequivalent atoms, fractional coordinates:
Ho1 0.0000 0.0000 0.0000 x3
Tm1 0.0000 0.0000 0.1271 x6
Zn1 0.0000 0.0000 0.3987 x6
Ga1 0.0000 0.0000 0.2614 x6


| no. | raw total energy (eV per cell) |
| --- | --- |
| 1 | -52.34 |
| 2 | -31.26 |
| 3 | -555.69 |
| 4 | -61.90 |
| 5 | -60.07 |
| 6 | -37.30 |
| 7 | -17.62 |
| 8 | -75.41 |
| 9 | -145.70 |
| 10 | -12.88 |
| 11 | -104.73 |
| 12 | -102.75 |
| 13 | -24.97 |
| 14 | -98.87 |
| 15 | -48.33 |
| 16 | -47.03 |
| 17 | -38.71 |
| 18 | -26.51 |
| 19 | -67.59 |
| 20 | -74.45 |